Entry 1:
ScSn2I: relaxed, PBE.

The calculation puts the distance to the lowest polymorph of the same formula at 287 meV per atom. The magnetization is 0.00 μB/cell.

Unit cell a=7.6901 b=7.6901 c=7.6901 alpha=90.00 beta=90.00 gamma=90.00
Last column: nearest neighbours and their distance in Å.
Space group Fm-3m (No. 225)
Unique sites:
1 Sc 0.0000 0.0000 0.0000 (multiplicity 4)  8 Sn 3.33
2 Sn 0.2500 0.2500 0.2500 (multiplicity 8)  4 Sc 3.33, 4 I 3.33
3 I 0.0000 0.0000 0.5000 (multiplicity 4)  8 Sn 3.33


Entry 2:
BeNbRe: relaxed, PBE.

For the formation energy, the calculation gives -0.122 eV per atom. The calculation puts the distance to the lowest polymorph of the same formula at 164 meV per atom. The magnetization is 0.00 μB/cell.

Unit cell a=7.9567 b=4.2721 c=5.2009 alpha=90.00 beta=106.13 gamma=90.00
Last column: nearest neighbours and their distance in Å.
Space group C2/m (No. 12)
Unique sites:
1 Be 0.1293 0.0000 0.1166 (multiplicity 4)  1 Be 2.08
2 Nb 0.1880 0.0000 0.6271 (multiplicity 4)  4 Be 2.57-2.72, 3 Re 2.68-2.69, 2 Nb 2.83
3 Re 0.0395 0.5000 0.7845 (multiplicity 4)  1 Re 2.49, 5 Be 2.54-2.71, 3 Nb 2.68-2.69


Entry 3:
PrYPbAu: relaxed, PBE.

For the formation energy, the calculation gives -0.616 eV per atom. The magnetization is 3.41 μB/cell.

Unit cell a=7.5948 b=7.5948 c=7.5948 alpha=90.00 beta=90.00 gamma=90.00
Last column: nearest neighbours and their distance in Å.
Space group F-43m (No. 216)
Unique sites:
1 Pr 0.0000 0.0000 0.0000 (multiplicity 4)  4 Pb 3.29, 4 Au 3.29
2 Y 0.0000 0.0000 0.5000 (multiplicity 4)  4 Pb 3.29, 4 Au 3.29
3 Pb 0.2500 0.2500 0.7500 (multiplicity 4)  4 Pr 3.29, 4 Y 3.29
4 Au 0.2500 0.2500 0.2500 (multiplicity 4)  4 Pr 3.29, 4 Y 3.29


Entry 4:
CaLaIr2: relaxed, PBE.

For the formation energy, the calculation gives 0.010 eV per atom. The calculation puts the distance to the lowest polymorph of the same formula at 389 meV per atom. The magnetization is 1.59 μB/cell.

Unit cell a=3.7062 b=3.7062 c=24.0646 alpha=90.00 beta=90.00 gamma=120.00
Last column: nearest neighbours and their distance in Å.
Space group R-3m (No. 166, hexagonal axes)
Unique sites:
1 Ca 0.0000 0.0000 0.0000 (multiplicity 3)  6 Ir 2.97
2 La 0.0000 0.0000 0.5000 (multiplicity 3)  6 Ir 2.90
3 Ir 0.0000 0.0000 0.2479 (multiplicity 6)  3 La 2.90, 3 Ca 2.97


Entry 5:
Pr2In3Hg3: relaxed, PBE.

For the formation energy, the calculation gives -0.416 eV per atom. The magnetization is 0.00 μB/cell.

Unit cell a=4.7154 b=4.7262 c=9.4172 alpha=90.00 beta=90.00 gamma=90.00
Last column: nearest neighbours and their distance in Å.
Space group Pmmm (No. 47)
Unique sites:
1 Pr 0.0000 0.0000 0.2480 (multiplicity 2)  6 In 3.32-3.35, 6 Hg 3.32-3.34
2 In 0.0000 0.5000 0.5000 (multiplicity 1)  4 Hg 3.28, 4 In 3.34, 4 Pr 3.35
3 In 0.5000 0.0000 0.0000 (multiplicity 1)  4 Pr 3.32, 8 Hg 3.34-3.39
4 In 0.5000 0.0000 0.5000 (multiplicity 1)  4 Hg 3.29, 4 In 3.34, 4 Pr 3.35
5 Hg 0.0000 0.5000 0.0000 (multiplicity 1)  4 Pr 3.32, 4 In 3.34, 4 Hg 3.38
6 Hg 0.5000 0.5000 0.2575 (multiplicity 2)  6 In 3.28-3.39, 4 Pr 3.34, 2 Hg 3.38


Entry 6:
KSrCa2Pt: relaxed, PBE.

For the formation energy, the calculation gives -0.405 eV per atom. The calculation puts the distance to the lowest polymorph of the same formula at 0 meV per atom. The magnetization is 0.00 μB/cell.

Unit cell a=5.7979 b=5.7979 c=6.0475 alpha=90.00 beta=90.00 gamma=90.00
Last column: nearest neighbours and their distance in Å.
Space group P4/mmm (No. 123)
Unique sites:
1 K 0.0000 0.0000 0.0000 (multiplicity 1)  4 Sr 4.10, 8 Ca 4.19
2 Sr 0.5000 0.5000 0.0000 (multiplicity 1)  2 Pt 3.02
3 Ca 0.0000 0.5000 0.5000 (multiplicity 2)  2 Pt 2.90
4 Pt 0.5000 0.5000 0.5000 (multiplicity 1)  4 Ca 2.90, 2 Sr 3.02


What is the formula in the fourth record?
CaLaIr2


Which value of magnetization does entry 4 give?
1.59 μB/cell


Copy entry 6 word for word.
KSrCa2Pt: relaxed, PBE.

For the formation energy, the calculation gives -0.405 eV per atom. The calculation puts the distance to the lowest polymorph of the same formula at 0 meV per atom. The magnetization is 0.00 μB/cell.

Unit cell a=5.7979 b=5.7979 c=6.0475 alpha=90.00 beta=90.00 gamma=90.00
Last column: nearest neighbours and their distance in Å.
Space group P4/mmm (No. 123)
Unique sites:
1 K 0.0000 0.0000 0.0000 (multiplicity 1)  4 Sr 4.10, 8 Ca 4.19
2 Sr 0.5000 0.5000 0.0000 (multiplicity 1)  2 Pt 3.02
3 Ca 0.0000 0.5000 0.5000 (multiplicity 2)  2 Pt 2.90
4 Pt 0.5000 0.5000 0.5000 (multiplicity 1)  4 Ca 2.90, 2 Sr 3.02